The following is a PBE calculation of an optimized crystal structure of SmNpNiS4, from Alexandria.

Results
- N(E_F): 7.8 states/eV/f.u.
- Energy relative to the elements, uncorrected: -30.38 kcal/mol of atoms
- Symmetry: P2_1/m

Cell lengths 6.465, 5.676, 7.766 Å; angles 90.00, 106.67, 90.00 degrees
Positions (direct):
Np: 0.752 0.750 0.440
Sm: 0.736 0.750 0.933
S: 0.017 0.511 0.750
S: 0.430 0.750 0.121
S: 0.983 0.489 0.250
S: 0.426 0.750 0.603
S: 0.983 0.011 0.250
Sm: 0.264 0.250 0.067
S: 0.574 0.250 0.397
Ni: 0.762 0.250 0.679
Ni: 0.238 0.750 0.321
Np: 0.248 0.250 0.560
S: 0.570 0.250 0.879
S: 0.017 0.989 0.750

---

The following is a PBE calculation of an optimized crystal structure of PmHo2Sc, from Alexandria.

Results
- N(E_F): 6.3 states/eV/f.u.
- Excess energy over the best structure of this formula in the dataset: 0.015 eV/atom
- Symmetry: P4/mmm

Cell lengths 4.984, 4.910, 4.910 Å; angles 90.00, 90.00, 90.00 degrees
Positions (direct):
Ho: 0.000 0.500 0.000
Sc: 0.500 0.000 0.000
Ho: 0.000 0.000 0.500
Pm: 0.500 0.500 0.500

---

The following is a PBE calculation of an optimized crystal structure of ZrZn2Tc, from Alexandria.

Results
- N(E_F): 2.2 states/eV/f.u.
- Excess energy over the best structure of this formula in the dataset: 0.438 eV/atom
- Symmetry: I-42d

Cell lengths 3.813, 3.813, 10.212 Å; angles 79.24, 79.24, 90.00 degrees
Positions (direct):
Zn: 0.875 0.912 0.750
Zn: 0.088 0.625 0.250
Zr: 0.500 0.500 0.000
Tc: 0.750 0.250 0.500
Zn: 0.375 0.338 0.750
Tc: 0.000 0.000 0.000
Zr: 0.250 0.750 0.500
Zn: 0.662 0.125 0.250

---

The following is a PBE calculation of an optimized crystal structure of Dy5AlCd2, from Alexandria.

Results
- N(E_F): 7.2 states/eV/f.u.
- Electronic total energy: -3.7618 eV per atom
- Symmetry: I4/mcm

Cell lengths 7.719, 7.719, 9.283 Å; angles 114.57, 114.57, 90.00 degrees
Positions (direct):
Dy: 0.992 0.492 0.314
Dy: 0.000 0.000 0.000
Al: 0.750 0.750 0.500
Dy: 0.822 0.992 0.314
Dy: 0.322 0.822 0.314
Dy: 0.500 0.500 0.000
Cd: 0.129 0.371 0.000
Dy: 0.492 0.322 0.314
Cd: 0.371 0.871 0.000
Dy: 0.178 0.008 0.686
Cd: 0.871 0.629 0.000
Cd: 0.629 0.129 0.000
Al: 0.250 0.250 0.500
Dy: 0.508 0.678 0.686
Dy: 0.678 0.178 0.686
Dy: 0.008 0.508 0.686